Entry from Alexandria via LeMat-Bulk: a PBEsol-optimized structure of MnAl24Cr (SCAN).

Structure (extended XYZ):
```
26
Lattice="6.439 0.020 0.001 2.135 6.075 0.001 -0.021 -0.015 10.538" Properties=species:S:1:pos:R:3 pbc="T T T"
Al 4.800 0.634 4.299
Al 6.459 4.591 9.903
Al 2.639 3.647 9.563
Al 4.312 1.293 9.563
Al 4.793 3.407 7.842
Al 3.753 5.446 6.241
Al 4.794 5.087 3.666
Al 2.176 1.547 4.637
Al 2.173 3.224 6.874
Al 6.377 4.533 5.903
Al 3.760 2.673 2.698
Al 4.218 5.871 8.931
Al 8.045 5.719 7.953
Al 2.094 1.488 0.637
Al 6.376 1.755 6.241
Al 1.622 4.026 1.609
Al 0.508 0.361 2.587
Al 5.915 2.432 0.977
Al 3.759 0.993 6.874
Al 2.177 4.325 4.299
Al 4.335 0.209 1.609
Al 6.931 2.054 8.931
Al 6.380 2.856 3.666
Al 4.241 4.787 0.977
Cr 0.000 0.000 0.000
Mn 4.277 3.040 5.270
```

As for the magnetization: 0.20 Bohr magnetons per cell. The energy relative to the elements is -90 meV per atom. The crystal system is monoclinic. The value obtained for the volume is 15.8 Å³ per atom. The calculation puts the density at 3.04 Mg/m³.